The following is a PBE calculation of crystalline PaFeSbMo at its relaxed geometry, from Alexandria via LeMat-Bulk.

abc: 4.6939 4.6939 4.6939
angles: 60.00 60.00 60.00
Closest atoms and distances in Å follow each position.
Fractional coordinates of all 4 atoms:
1 Pa 0.5000 0.5000 0.5000  4 Mo 2.87, 4 Fe 2.87
2 Fe 0.2500 0.2500 0.2500  4 Pa 2.87, 4 Sb 2.87
3 Mo 0.7500 0.7500 0.7500  4 Sb 2.87, 4 Pa 2.87
4 Sb 0.0000 0.0000 0.0000  4 Fe 2.87, 4 Mo 2.87

Summary:
As for the volume: 18.28 Å³ per atom. Its uncorrected formation energy is 0.19 eV per formula unit. The symmetry is F-43m, No. 216.


The following is a PBE calculation of crystalline Co2TeRh at its relaxed geometry, from Alexandria via LeMat-Bulk.

abc: 8.0974 8.0974 8.0974
angles: 21.39 21.39 21.39
Closest atoms and distances in Å follow each position.
Fractional coordinates of all 4 atoms:
1 Te 0.7500 0.7500 0.7500  6 Co 2.66
2 Co 0.9982 0.9982 0.9982  3 Rh 2.60, 3 Te 2.66
3 Co 0.5018 0.5018 0.5018  3 Rh 2.60, 3 Te 2.66
4 Rh 0.2500 0.2500 0.2500  6 Co 2.60

Summary:
As for the volume: 15.47 Å³ per atom. Its uncorrected formation energy is 2.08 eV per formula unit. The symmetry is R-3m, No. 166.


The following is a PBE calculation of crystalline AsOsI at its relaxed geometry, from Alexandria via LeMat-Bulk.

abc: 6.8722 7.1053 7.8374
angles: 100.27 90.00 90.00
Closest atoms and distances in Å follow each position.
Fractional coordinates of all 12 atoms:
1 As 0.7164 0.1570 0.9470  3 Os 2.38-2.41
2 As 0.2164 0.3430 0.0530  3 Os 2.38-2.41
3 As 0.2836 0.8430 0.0530  3 Os 2.38-2.41
4 As 0.7836 0.6570 0.9470  3 Os 2.38-2.41
5 Os 0.3835 0.0800 0.8854  3 As 2.38-2.41
6 Os 0.6165 0.9200 0.1146  3 As 2.38-2.41
7 Os 0.1165 0.5800 0.8854  3 As 2.38-2.41
8 Os 0.8835 0.4200 0.1146  3 As 2.38-2.41
9 I 0.1535 0.8387 0.6618  2 Os 2.73-2.77
10 I 0.6535 0.6613 0.3382  2 Os 2.73-2.77
11 I 0.8465 0.1613 0.3382  2 Os 2.73-2.77
12 I 0.3465 0.3387 0.6618  2 Os 2.73-2.77

Summary:
As for the volume: 31.38 Å³ per atom. Its uncorrected formation energy is 0.88 eV per formula unit. The symmetry is P2_1/c, No. 14.